[1]
A plane-wave DFT calculation with PBE was carried out for an optimized crystal structure of Cs3U3BeS8.

The structure in extended XYZ format:
```
15
Lattice="7.074 -3.888 0.000 7.074 3.888 0.000 -4.908 0.000 8.150" Properties=species:S:1:pos:R:3 pbc="T T T"
Cs 0.000 0.000 0.000
Cs 3.537 1.944 0.000
Cs 3.537 -1.944 0.000
U 1.083 1.944 4.075
U 1.083 -1.944 4.075
U 4.620 0.000 4.075
Be -2.454 0.000 4.075
S 3.541 2.230 5.299
S 5.699 2.230 2.851
S 0.350 0.000 5.762
S 2.316 0.000 2.573
S 6.924 0.000 5.576
S 8.890 0.000 2.387
S 3.541 -2.230 5.299
S 5.699 -2.230 2.851
```

- calculated volume (Å³/cell) = 448.3
- E (eV per atom) = -6.083

---

[2]
A plane-wave DFT calculation with PBE was carried out for an optimized crystal structure of CsUBeS3.

The structure in extended XYZ format:
```
12
Lattice="9.551 0.000 0.000 0.000 3.857 0.000 -3.805 0.000 8.938" Properties=species:S:1:pos:R:3 pbc="T T T"
Cs 1.533 0.964 1.876
Cs 4.213 2.893 7.061
U -1.141 0.964 5.933
U 6.887 2.893 3.005
Be 0.236 2.893 8.240
Be 5.510 0.964 0.698
S -1.794 2.893 7.830
S -0.218 2.893 4.216
S 1.205 0.964 7.563
S 4.541 2.893 1.375
S 5.964 0.964 4.722
S 7.540 0.964 1.108
```

- calculated volume (Å³/cell) = 329.2
- E (eV per atom) = -5.914

---

[3]
A plane-wave DFT calculation with PBE was carried out for an optimized crystal structure of CsUBeS4.

The structure in extended XYZ format:
```
14
Lattice="6.120 0.000 0.000 0.000 6.453 0.000 -2.901 0.000 8.931" Properties=species:S:1:pos:R:3 pbc="T T T"
Cs -0.035 1.613 3.982
Cs 3.254 4.840 4.949
U 1.781 4.840 0.443
U 1.438 1.613 8.488
Be -1.675 1.613 7.588
Be 4.894 4.840 1.343
S 0.577 1.613 0.633
S 0.403 4.840 2.637
S -0.352 3.239 7.281
S -0.352 6.441 7.281
S 3.571 0.013 1.649
S 3.571 3.214 1.649
S 2.816 1.613 6.293
S 2.642 4.840 8.298
```

- calculated volume (Å³/cell) = 352.7
- E (eV per atom) = -5.848

---

[4]
A plane-wave DFT calculation with PBE was carried out for an optimized crystal structure of Cs2UBeS5.

The structure in extended XYZ format:
```
18
Lattice="1.994 -9.884 0.000 1.994 9.884 0.000 0.000 0.000 14.752" Properties=species:S:1:pos:R:3 pbc="T T T"
Cs 1.994 7.514 7.376
Cs 1.994 7.480 2.017
Cs 1.994 -7.480 9.392
Cs 1.994 -7.514 0.000
U 1.994 6.026 12.239
U 1.994 -6.026 4.863
Be 1.994 1.577 3.491
Be 1.994 -1.577 10.867
S 1.994 8.542 12.050
S 1.994 3.849 6.565
S 1.994 3.696 3.092
S 1.994 3.612 12.077
S 1.994 0.356 1.931
S 1.994 -0.356 9.306
S 1.994 -3.612 4.701
S 1.994 -3.696 10.467
S 1.994 -3.849 13.941
S 1.994 -8.542 4.674
```

- calculated volume (Å³/cell) = 581.5
- E (eV per atom) = -5.269

---

[5]
A plane-wave DFT calculation with PBE was carried out for an optimized crystal structure of Cs2UBeS4.

The structure in extended XYZ format:
```
16
Lattice="0.000 7.251 13.073 3.020 0.000 13.073 3.020 7.251 0.000" Properties=species:S:1:pos:R:3 pbc="T T T"
Cs 2.265 5.438 1.363
Cs 3.775 9.064 7.900
Cs 2.265 5.438 18.247
Cs 3.775 9.064 24.784
U 0.755 1.813 3.268
U 5.286 12.689 22.878
Be 2.265 5.438 9.805
Be 3.775 9.064 16.342
S 3.498 4.146 8.562
S 3.498 6.731 11.048
S 5.008 7.771 17.584
S 5.008 10.356 15.099
S 1.032 4.146 11.048
S 1.032 6.731 8.562
S 2.543 7.771 15.099
S 2.543 10.356 17.584
```

- calculated volume (Å³/cell) = 572.6
- E (eV per atom) = -5.262

---

[6]
A plane-wave DFT calculation with PBE was carried out for an optimized crystal structure of Cs2BeVS4.

The structure in extended XYZ format:
```
16
Lattice="0.000 7.066 12.534 2.744 0.000 12.534 2.744 7.066 0.000" Properties=species:S:1:pos:R:3 pbc="T T T"
Cs 2.058 5.300 1.274
Cs 3.430 8.833 7.541
Cs 2.058 5.300 17.527
Cs 3.430 8.833 23.794
Be 0.686 1.767 3.134
Be 4.802 12.366 21.935
V 2.058 5.300 9.401
V 3.430 8.833 15.668
S 1.994 2.972 4.313
S 3.493 6.506 10.580
S 2.121 7.627 4.313
S 2.121 2.972 14.488
S 3.366 11.160 10.580
S 3.366 6.506 20.755
S 1.994 7.627 14.488
S 3.493 11.160 20.755
```

- calculated volume (Å³/cell) = 486.0
- E (eV per atom) = -5.017

---

[7]
A plane-wave DFT calculation with PBE was carried out for an optimized crystal structure of Cs2YBeS.

The structure in extended XYZ format:
```
5
Lattice="5.924 0.000 0.000 0.000 5.924 0.000 0.000 0.000 5.585" Properties=species:S:1:pos:R:3 pbc="T T T"
Cs 0.000 2.962 0.000
Cs 2.962 0.000 0.000
Y 0.000 0.000 2.792
Be 0.000 0.000 0.000
S 2.962 2.962 2.792
```

- calculated volume (Å³/cell) = 196.0
- E (eV per atom) = -2.649

---

[8]
A plane-wave DFT calculation with PBE was carried out for an optimized crystal structure of Cs2YBe2S4.

The structure in extended XYZ format:
```
9
Lattice="7.353 -1.894 0.000 7.353 1.894 0.000 -2.749 0.000 7.792" Properties=species:S:1:pos:R:3 pbc="T T T"
Cs 1.854 0.000 0.313
Cs 10.103 0.000 7.479
Y -1.375 0.000 3.896
Be 3.358 0.000 4.101
Be 8.598 0.000 3.691
S 1.270 0.000 4.876
S 4.829 0.000 5.572
S 7.127 0.000 2.220
S 10.686 0.000 2.916
```

- calculated volume (Å³/cell) = 217.0
- E (eV per atom) = -4.768